First-principles (GGA-PBE) data for a relaxed ErThPa2 crystal, as listed in the Alexandria database.

Unit cell a=3.347 b=3.347 c=9.935 alpha=90.00 beta=90.00 gamma=90.00
Fractional positions:
Pa 0.000 0.000 0.748
Pa 0.000 0.000 0.252
Th 0.500 0.500 0.500
Er 0.500 0.500 0.000

V = 27.8 Å³/atom
Space group = P4/mmm (123)
DFT total energy = -7.56 eV/atom
Relative energy among the computed polymorphs = 0.000 eV/atom
ΔE_f = 180 meV/atom